(1)
GGA-PBE ZnNi14Mo, optimized geometry; N(E_F) = 25.5 states/eV per cell; volume = 180.7 Å³ per cell; ΔH_f (0 K) = -0.03 eV per atom
1.0
5.0453 0.0000 0.0000
0.0000 5.0453 0.0000
0.0000 0.0000 7.0982
Zn Ni Mo
1 14 1
direct
0.0000 0.0000 0.0000 Zn
0.0000 0.0000 0.5000 Ni
0.0000 0.5000 0.0000 Ni
0.0000 0.5000 0.5000 Ni
0.2506 0.2506 0.2553 Ni
0.2506 0.2506 0.7447 Ni
0.2506 0.7494 0.2553 Ni
0.2506 0.7494 0.7447 Ni
0.5000 0.0000 0.0000 Ni
0.5000 0.0000 0.5000 Ni
0.5000 0.5000 0.5000 Ni
0.7494 0.2506 0.2553 Ni
0.7494 0.2506 0.7447 Ni
0.7494 0.7494 0.2553 Ni
0.7494 0.7494 0.7447 Ni
0.5000 0.5000 0.0000 Mo

***

(2)
GGA-PBE Zn4Ni5Mo, optimized geometry; N(E_F) = 7.8 states/eV per cell; volume = 123.3 Å³ per cell; ΔH_f (0 K) = -0.19 eV per atom
1.0
2.6963 0.0000 0.0000
0.0000 2.6963 0.0000
0.0000 0.0000 16.9598
Zn Ni Mo
4 5 1
direct
0.0000 0.0000 0.0980 Zn
0.0000 0.0000 0.2931 Zn
0.0000 0.0000 0.7069 Zn
0.0000 0.0000 0.9020 Zn
0.5000 0.5000 0.0000 Ni
0.5000 0.5000 0.1958 Ni
0.5000 0.5000 0.3919 Ni
0.5000 0.5000 0.6081 Ni
0.5000 0.5000 0.8042 Ni
0.0000 0.0000 0.5000 Mo

***

(3)
GGA-PBE Zn3Ni12Mo, optimized geometry; N(E_F) = 13.9 states/eV per cell; volume = 185.1 Å³ per cell; ΔH_f (0 K) = -0.12 eV per atom
1.0
3.5923 0.0000 0.0000
0.0000 3.5923 0.0000
0.0000 0.0000 14.3463
Zn Ni Mo
3 12 1
direct
0.0000 0.0000 0.0000 Zn
0.0000 0.0000 0.2472 Zn
0.0000 0.0000 0.7528 Zn
0.0000 0.5000 0.1244 Ni
0.0000 0.5000 0.3754 Ni
0.0000 0.5000 0.6246 Ni
0.0000 0.5000 0.8756 Ni
0.5000 0.0000 0.1244 Ni
0.5000 0.0000 0.3754 Ni
0.5000 0.0000 0.6246 Ni
0.5000 0.0000 0.8756 Ni
0.5000 0.5000 0.0000 Ni
0.5000 0.5000 0.2490 Ni
0.5000 0.5000 0.5000 Ni
0.5000 0.5000 0.7510 Ni
0.0000 0.0000 0.5000 Mo

***

(4)
GGA-PBE ZnNiMo4, optimized geometry; N(E_F) = 4.2 states/eV per cell; volume = 97.6 Å³ per cell; ΔH_f (0 K) = 0.54 eV per atom
1.0
0.0000 3.6544 3.6544
3.6544 0.0000 3.6544
3.6544 3.6544 0.0000
Zn Ni Mo
1 1 4
direct
0.0000 0.0000 0.0000 Zn
0.2500 0.2500 0.2500 Ni
0.1246 0.6251 0.6251 Mo
0.6251 0.1246 0.6251 Mo
0.6251 0.6251 0.1246 Mo
0.6251 0.6251 0.6251 Mo

***

Copy entry 3 word for word.
GGA-PBE Zn3Ni12Mo, optimized geometry; N(E_F) = 13.9 states/eV per cell; volume = 185.1 Å³ per cell; ΔH_f (0 K) = -0.12 eV per atom
1.0
3.5923 0.0000 0.0000
0.0000 3.5923 0.0000
0.0000 0.0000 14.3463
Zn Ni Mo
3 12 1
direct
0.0000 0.0000 0.0000 Zn
0.0000 0.0000 0.2472 Zn
0.0000 0.0000 0.7528 Zn
0.0000 0.5000 0.1244 Ni
0.0000 0.5000 0.3754 Ni
0.0000 0.5000 0.6246 Ni
0.0000 0.5000 0.8756 Ni
0.5000 0.0000 0.1244 Ni
0.5000 0.0000 0.3754 Ni
0.5000 0.0000 0.6246 Ni
0.5000 0.0000 0.8756 Ni
0.5000 0.5000 0.0000 Ni
0.5000 0.5000 0.2490 Ni
0.5000 0.5000 0.5000 Ni
0.5000 0.5000 0.7510 Ni
0.0000 0.0000 0.5000 Mo